Record 1
Below is crystalline Ca2Mg2Sb3 at its relaxed geometry, with properties calculated at the PBE level.

Properties
space group: C2/m (12)
DOS at the Fermi energy: 0.005 states/eV/atom
electronic total energy: -3.54 eV per atom

abc: 4.6748 8.7459 10.6979
angles: 81.54 77.38 74.50
Positions (direct):
Mg  0.9491  0.7839  0.3178
Mg  0.4165  0.5086  0.6585
Mg  0.0509  0.2161  0.6822
Mg  0.5835  0.4914  0.3415
Sb  0.1572  0.5051  0.1805
Sb  0.8428  0.4949  0.8195
Sb  0.3690  0.7847  0.4773
Sb  0.9072  0.0594  0.1261
Sb  0.6310  0.2153  0.5227
Sb  0.0928  0.9406  0.8739
Ca  0.6113  0.7380  0.0394
Ca  0.7336  0.8594  0.6734
Ca  0.2664  0.1406  0.3266
Ca  0.3887  0.2620  0.9606

---

Record 2
Below is crystalline Sm4BiPS2 at its relaxed geometry, with properties calculated at the PBE level.

Properties
space group: P2/m (10)
DOS at the Fermi energy: 0.405 states/eV/atom
electronic total energy: -6.14 eV per atom

abc: 4.1695 7.1744 7.3379
angles: 70.53 90.00 90.00
Positions (direct):
Sm  0.0000  0.7670  0.7232
Sm  0.0000  0.2330  0.2768
Sm  0.5000  0.2468  0.7336
Sm  0.5000  0.7532  0.2664
S  0.0000  0.0000  0.0000
S  0.5000  0.0000  0.5000
P  0.0000  0.5000  0.5000
Bi  0.5000  0.5000  0.0000